# 1
DFT (GGA-PBEsol) results for a geometry-optimized ZnFeIr structure.

Cell lengths 5.599, 5.599, 5.599 Å; angles 152.23, 152.23, 39.68 degrees
Sites, in units of the cell vectors:
1 Zn 0.000 0.000 0.000
2 Fe 0.666 0.666 0.000
3 Ir 0.319 0.319 0.000

- SG: No. 107
- Crystal system: tetragonal
- Distance to the lowest polymorph of the same formula: 0.0 meV/atom
- Formation enthalpy at 0 K: -0.0535 eV/atom
- DOS at the Fermi energy: 2.6 states/eV/cell


# 2
DFT (GGA-PBEsol) results for a geometry-optimized CaMg structure.

Cell lengths 6.147, 5.652, 6.961 Å; angles 90.00, 90.00, 90.00 degrees
Sites, in units of the cell vectors:
1 Ca 0.110 0.250 0.123
2 Ca 0.390 0.750 0.623
3 Ca 0.610 0.250 0.377
4 Ca 0.890 0.750 0.877
5 Mg 0.074 0.250 0.625
6 Mg 0.426 0.750 0.125
7 Mg 0.574 0.250 0.875
8 Mg 0.926 0.750 0.375

- SG: No. 62
- Crystal system: orthorhombic
- Formation enthalpy at 0 K: -0.0443 eV/atom
- DOS at the Fermi energy: 5.8 states/eV/cell


# 3
DFT (GGA-PBEsol) results for a geometry-optimized BaCu2As structure.

Cell lengths 3.328, 3.328, 7.153 Å; angles 90.00, 90.00, 90.00 degrees
Sites, in units of the cell vectors:
1 Ba 0.000 0.000 0.000
2 Cu 0.000 0.000 0.489
3 Cu 0.500 0.500 0.329
4 As 0.500 0.500 0.661

- SG: No. 99
- Crystal system: tetragonal
- Formation enthalpy at 0 K: 0.0320 eV/atom
- DOS at the Fermi energy: 1.4 states/eV/cell


# 4
DFT (GGA-PBEsol) results for a geometry-optimized LaTeAs structure.

Cell lengths 7.757, 4.143, 10.245 Å; angles 90.00, 90.00, 90.00 degrees
Sites, in units of the cell vectors:
1 La 0.223 0.250 0.156
2 La 0.277 0.750 0.656
3 La 0.723 0.250 0.344
4 La 0.777 0.750 0.844
5 Te 0.095 0.250 0.850
6 Te 0.405 0.750 0.350
7 Te 0.595 0.250 0.650
8 Te 0.905 0.750 0.150
9 As 0.091 0.250 0.461
10 As 0.409 0.750 0.961
11 As 0.591 0.250 0.039
12 As 0.909 0.750 0.539

- Formation energy without anion corrections: -1316 meV per atom
- SG: No. 62
- Crystal system: orthorhombic
- DOS at the Fermi energy: 0.7 states/eV/cell


# 5
DFT (GGA-PBEsol) results for a geometry-optimized Al2TcBr structure.

Cell lengths 4.680, 4.680, 4.680 Å; angles 126.40, 126.40, 79.23 degrees
Sites, in units of the cell vectors:
1 Al 0.000 0.000 0.000
2 Al 0.750 0.250 0.500
3 Tc 0.250 0.750 0.500
4 Br 0.500 0.500 0.000

- Formation energy without anion corrections: 504 meV per atom
- SG: No. 119
- Crystal system: tetragonal
- Distance to the lowest polymorph of the same formula: 600.3 meV/atom
- DOS at the Fermi energy: 1.9 states/eV/cell


# 6
DFT (GGA-PBEsol) results for a geometry-optimized TeAu2S structure.

Cell lengths 7.179, 7.179, 7.179 Å; angles 132.12, 132.12, 70.03 degrees
Sites, in units of the cell vectors:
1 Te 0.000 0.000 0.000
2 Te 0.750 0.250 0.500
3 Au 0.166 0.625 0.041
4 Au 0.375 0.416 0.541
5 Au 0.584 0.125 0.959
6 Au 0.875 0.834 0.459
7 S 0.250 0.750 0.500
8 S 0.500 0.500 0.000

- Formation energy without anion corrections: 117 meV per atom
- SG: No. 122
- Crystal system: tetragonal
- DOS at the Fermi energy: 5.4 states/eV/cell


# 7
DFT (GGA-PBEsol) results for a geometry-optimized Mg2B24C structure.

Cell lengths 8.932, 8.932, 5.065 Å; angles 90.00, 90.00, 90.00 degrees
Sites, in units of the cell vectors:
1 Mg 0.000 0.000 0.000
2 Mg 0.000 0.500 0.250
3 Mg 0.500 0.000 0.750
4 Mg 0.500 0.500 0.500
5 B 0.077 0.241 0.916
6 B 0.079 0.326 0.599
7 B 0.093 0.770 0.088
8 B 0.099 0.694 0.417
9 B 0.115 0.129 0.624
10 B 0.129 0.885 0.376
11 B 0.174 0.421 0.901
12 B 0.194 0.599 0.083
13 B 0.230 0.093 0.912
14 B 0.235 0.252 0.415
15 B 0.241 0.923 0.084
16 B 0.248 0.265 0.085
17 B 0.252 0.765 0.585
18 B 0.259 0.423 0.584
19 B 0.265 0.752 0.915
20 B 0.270 0.593 0.412
21 B 0.306 0.099 0.583
22 B 0.326 0.921 0.401
23 B 0.371 0.385 0.876
24 B 0.385 0.629 0.124
25 B 0.401 0.194 0.917
26 B 0.407 0.270 0.588
27 B 0.421 0.826 0.099
28 B 0.423 0.741 0.416
29 B 0.577 0.259 0.416
30 B 0.579 0.174 0.099
31 B 0.593 0.730 0.588
32 B 0.599 0.806 0.917
33 B 0.615 0.371 0.124
34 B 0.629 0.615 0.876
35 B 0.674 0.079 0.401
36 B 0.694 0.901 0.583
37 B 0.730 0.407 0.412
38 B 0.735 0.248 0.915
39 B 0.741 0.577 0.584
40 B 0.748 0.235 0.585
41 B 0.752 0.735 0.085
42 B 0.759 0.077 0.084
43 B 0.765 0.748 0.415
44 B 0.770 0.907 0.912
45 B 0.806 0.401 0.083
46 B 0.826 0.579 0.901
47 B 0.871 0.115 0.376
48 B 0.885 0.871 0.624
49 B 0.901 0.306 0.417
50 B 0.907 0.230 0.088
51 B 0.921 0.674 0.599
52 B 0.923 0.759 0.916
53 C 0.000 0.000 0.500
54 C 0.500 0.500 0.000

- SG: No. 118
- Crystal system: tetragonal
- Formation enthalpy at 0 K: -0.1559 eV/atom
- DOS at the Fermi energy: 0.0 states/eV/cell


# 8
DFT (GGA-PBEsol) results for a geometry-optimized K2NaTbCl6 structure.

Cell lengths 7.454, 7.454, 7.454 Å; angles 60.00, 60.00, 60.00 degrees
Sites, in units of the cell vectors:
1 K 0.250 0.250 0.250
2 K 0.750 0.750 0.750
3 Na 0.000 0.000 0.000
4 Tb 0.500 0.500 0.500
5 Cl 0.253 0.253 0.747
6 Cl 0.253 0.747 0.253
7 Cl 0.253 0.747 0.747
8 Cl 0.747 0.253 0.253
9 Cl 0.747 0.253 0.747
10 Cl 0.747 0.747 0.253

- Formation energy without anion corrections: -2040 meV per atom
- SG: No. 225
- Crystal system: cubic
- DOS at the Fermi energy: 0.0 states/eV/cell


# 9
DFT (GGA-PBEsol) results for a geometry-optimized TaRhI3 structure.

Cell lengths 5.382, 5.382, 5.382 Å; angles 90.00, 90.00, 90.00 degrees
Sites, in units of the cell vectors:
1 Ta 0.000 0.000 0.000
2 Rh 0.500 0.500 0.500
3 I 0.000 0.000 0.500
4 I 0.000 0.500 0.000
5 I 0.500 0.000 0.000

- Formation energy without anion corrections: 1111 meV per atom
- SG: No. 221
- Crystal system: cubic
- DOS at the Fermi energy: 13.5 states/eV/cell


# 10
DFT (GGA-PBEsol) results for a geometry-optimized AlTlI4 structure.

Cell lengths 7.933, 7.806, 15.809 Å; angles 90.00, 95.80, 90.00 degrees
Sites, in units of the cell vectors:
1 Al 0.247 0.139 0.140
2 Al 0.247 0.361 0.640
3 Al 0.753 0.639 0.360
4 Al 0.753 0.861 0.860
5 Tl 0.255 0.014 0.861
6 Tl 0.255 0.486 0.361
7 Tl 0.745 0.514 0.639
8 Tl 0.745 0.986 0.139
9 I 0.008 0.154 0.664
10 I 0.008 0.346 0.164
11 I 0.139 0.654 0.587
12 I 0.139 0.846 0.087
13 I 0.429 0.237 0.530
14 I 0.429 0.263 0.030
15 I 0.431 0.104 0.281
16 I 0.431 0.396 0.781
17 I 0.569 0.604 0.219
18 I 0.569 0.896 0.719
19 I 0.571 0.737 0.970
20 I 0.571 0.763 0.470
21 I 0.861 0.154 0.913
22 I 0.861 0.346 0.413
23 I 0.992 0.654 0.836
24 I 0.992 0.846 0.336

- Formation energy without anion corrections: -640 meV per atom
- SG: No. 14
- Crystal system: monoclinic
- DOS at the Fermi energy: 0.0 states/eV/cell


# 11
DFT (GGA-PBEsol) results for a geometry-optimized CoTeO2 structure.

Cell lengths 5.611, 5.611, 5.611 Å; angles 125.06, 125.06, 81.43 degrees
Sites, in units of the cell vectors:
1 Co 0.000 0.000 0.000
2 Co 0.750 0.250 0.500
3 Te 0.250 0.750 0.500
4 Te 0.500 0.500 0.000
5 O 0.031 0.125 0.406
6 O 0.375 0.969 0.094
7 O 0.719 0.625 0.594
8 O 0.875 0.281 0.906

- Formation energy without anion corrections: -302 meV per atom
- SG: No. 122
- Crystal system: tetragonal
- DOS at the Fermi energy: 6.0 states/eV/cell


# 12
DFT (GGA-PBEsol) results for a geometry-optimized SnPbF3 structure.

Cell lengths 4.606, 4.606, 4.606 Å; angles 90.00, 90.00, 90.00 degrees
Sites, in units of the cell vectors:
1 Sn 0.000 0.000 0.000
2 Pb 0.500 0.500 0.500
3 F 0.000 0.000 0.500
4 F 0.000 0.500 0.000
5 F 0.500 0.000 0.000

- Formation energy without anion corrections: -1587 meV per atom
- SG: No. 221
- Crystal system: cubic
- DOS at the Fermi energy: 2.9 states/eV/cell